1:
Here is an optimized crystal structure of NaTc3Se from Alexandria. Energies are from GGA-PBE.

Structure (extended XYZ):
```
5
Lattice="-0.2974 -4.4155 1.1662 1.3392 1.0330 4.2526 -4.3662 0.6176 1.2249" Properties=species:S:1:pos:R:3 pbc="T T T"
Tc -2.1831 0.3088 0.6125
Tc 0.6696 0.5165 2.1263
Tc -0.1487 -2.2078 0.5831
Na 0.0000 0.0000 0.0000
Se -1.6622 -1.3825 3.3219
```

Results
density	6.86	g cm⁻³

=====

2:
Here is an optimized crystal structure of NaTc3Se from Alexandria. Energies are from GGA-PBE.

Structure (extended XYZ):
```
5
Lattice="-2.1792 3.7780 -1.5259 -2.5941 0.0479 3.8235 3.1421 2.6599 2.0984" Properties=species:S:1:pos:R:3 pbc="T T T"
Tc 1.5710 1.3299 1.0492
Tc -1.0896 1.8890 -0.7629
Tc -1.2970 0.0240 1.9118
Na -0.8156 3.2429 2.1980
Se 0.0000 0.0000 0.0000
```

Results
density	6.66	g cm⁻³

=====

The structure with the least stability is 1.

=====

1:
Here is an optimized crystal structure of NaTe2Se2 from Alexandria. Energies are from GGA-PBE.

Structure (extended XYZ):
```
5
Lattice="5.7290 0.0000 0.0000 0.0000 5.7290 0.0000 2.8645 2.8645 5.1767" Properties=species:S:1:pos:R:3 pbc="T T T"
Na 0.0000 0.0000 0.0000
Se 5.7290 2.8645 2.5884
Se 2.8645 5.7290 2.5884
Te 2.8645 2.8645 2.1018
Te 5.7290 5.7290 3.0749
```

Results
density	4.26	g cm⁻³

=====

2:
Here is an optimized crystal structure of NaTe2Se2 from Alexandria. Energies are from GGA-PBE.

Structure (extended XYZ):
```
10
Lattice="8.3560 0.0000 0.0000 0.0000 8.3560 0.0000 0.0000 0.0000 4.0040" Properties=species:S:1:pos:R:3 pbc="T T T"
Te 2.9846 7.1626 0.0000
Te 7.1626 5.3714 0.0000
Te 5.3714 1.1934 0.0000
Te 1.1934 2.9846 0.0000
Se 2.5856 1.5924 2.0020
Se 1.5924 5.7704 2.0020
Se 6.7636 2.5856 2.0020
Se 5.7704 6.7636 2.0020
Na 0.0000 0.0000 0.0000
Na 4.1780 4.1780 0.0000
```

Results
density	5.18	g cm⁻³

=====

3:
Here is an optimized crystal structure of NaTe2Se2 from Alexandria. Energies are from GGA-PBE.

Structure (extended XYZ):
```
10
Lattice="-4.2146 6.4209 -3.4786 2.1067 -2.7766 -7.6775 -3.7066 -2.4951 -0.1147" Properties=species:S:1:pos:R:3 pbc="T T T"
Se 0.4038 -0.2653 -7.2763
Se -1.9484 3.2679 -8.1230
Se -2.5117 3.9097 -3.8798
Se -0.1595 0.3764 -3.0331
Te -2.7839 0.2508 -2.5783
Te -4.6221 3.1067 -5.2980
Te -1.1923 -1.9575 -5.9728
Te -3.0306 0.8984 -8.6925
Na -1.0539 1.8222 -5.5780
Na 0.0000 0.0000 0.0000
```

Results
density	4.56	g cm⁻³

=====

The structure with the least stability is 2.

=====

1:
Here is an optimized crystal structure of Na2TeSe2 from Alexandria. Energies are from GGA-PBE.

Structure (extended XYZ):
```
10
Lattice="7.8616 0.0000 0.0000 0.0000 7.8616 0.0000 0.0000 0.0000 4.1496" Properties=species:S:1:pos:R:3 pbc="T T T"
Na 5.0290 6.7633 2.0748
Na 6.7633 2.8325 2.0748
Na 2.8325 1.0982 2.0748
Na 1.0982 5.0290 2.0748
Se 2.5564 6.4872 0.0000
Se 5.3051 1.3744 0.0000
Se 1.3744 2.5564 0.0000
Se 6.4872 5.3051 0.0000
Te 3.9308 3.9308 0.0000
Te 0.0000 0.0000 0.0000
```

Results
density	4.29	g cm⁻³

=====

2:
Here is an optimized crystal structure of Na2TeSe2 from Alexandria. Energies are from GGA-PBE.

Structure (extended XYZ):
```
5
Lattice="-2.2263 4.3846 3.2076 -5.4291 -1.9208 -1.1425 -3.6920 -1.1192 4.3405" Properties=species:S:1:pos:R:3 pbc="T T T"
Na -4.8730 2.2487 4.2904
Na -6.4744 -0.9041 2.1153
Se -3.7843 0.4802 2.0902
Se -7.5631 0.8644 4.3154
Te 0.0000 0.0000 0.0000
```

Results
density	3.93	g cm⁻³

=====

The structure with the least stability is 2.